VASP calculation (PBE-GGA) on CaAg3Au8 after structural relaxation.

Results
DFT total energy in eV per atom: -3.2435
Calculated density in g cm⁻³: 13.40
ΔH_f (0 K) in eV/atom: -0.18
Total magnetic moment in μB/cell: 0.00

a = 9.727 Å, b = 9.727 Å, c = 9.727 Å
α = 32.81°, β = 32.81°, γ = 32.81°
Positions (direct):
Ca: 0.000 0.000 0.000
Ag: 0.129 0.129 0.129
Ag: 0.498 0.498 0.498
Ag: 0.616 0.616 0.616
Au: 0.063 0.063 0.562
Au: 0.063 0.562 0.063
Au: 0.064 0.564 0.564
Au: 0.313 0.313 0.313
Au: 0.562 0.063 0.063
Au: 0.564 0.064 0.564
Au: 0.564 0.564 0.064
Au: 0.813 0.813 0.813


VASP calculation (PBE-GGA) on CaAgAu2 after structural relaxation.

Results
DFT total energy in eV per atom: -3.2781
Calculated density in g cm⁻³: 10.88
ΔH_f (0 K) in eV/atom: -0.43
Total magnetic moment in μB/cell: 0.00

a = 6.379 Å, b = 6.401 Å, c = 4.051 Å
α = 90.00°, β = 90.00°, γ = 90.00°
Positions (direct):
Ca: 0.000 0.000 0.000
Ca: 0.500 0.500 0.000
Ag: 0.000 0.500 0.000
Ag: 0.500 0.000 0.000
Au: 0.250 0.250 0.500
Au: 0.250 0.750 0.500
Au: 0.750 0.250 0.500
Au: 0.750 0.750 0.500


VASP calculation (PBE-GGA) on CaCd2AgAu2 after structural relaxation.

Results
DFT total energy in eV per atom: -2.0828
Calculated density in g cm⁻³: 6.81
ΔH_f (0 K) in eV/atom: 0.12
Total magnetic moment in μB/cell: 0.00

a = 4.572 Å, b = 4.572 Å, c = 17.890 Å
α = 90.00°, β = 90.00°, γ = 90.00°
Positions (direct):
Ca: 0.000 0.000 0.000
Ca: 0.500 0.500 0.500
Cd: 0.000 0.500 0.250
Cd: 0.000 0.500 0.750
Cd: 0.500 0.000 0.250
Cd: 0.500 0.000 0.750
Ag: 0.000 0.000 0.500
Ag: 0.500 0.500 0.000
Au: 0.000 0.000 0.160
Au: 0.000 0.000 0.840
Au: 0.500 0.500 0.340
Au: 0.500 0.500 0.660


VASP calculation (PBE-GGA) on CaCd2Ag2Au after structural relaxation.

Results
DFT total energy in eV per atom: -1.9718
Calculated density in g cm⁻³: 6.35
ΔH_f (0 K) in eV/atom: 0.16
Total magnetic moment in μB/cell: 0.00

a = 4.231 Å, b = 4.231 Å, c = 19.786 Å
α = 90.00°, β = 90.00°, γ = 90.00°
Positions (direct):
Ca: 0.000 0.000 0.000
Ca: 0.500 0.500 0.500
Cd: 0.000 0.500 0.250
Cd: 0.000 0.500 0.750
Cd: 0.500 0.000 0.250
Cd: 0.500 0.000 0.750
Ag: 0.000 0.000 0.153
Ag: 0.000 0.000 0.847
Ag: 0.500 0.500 0.347
Ag: 0.500 0.500 0.653
Au: 0.000 0.000 0.500
Au: 0.500 0.500 0.000


VASP calculation (PBE-GGA) on Ca2Cd6AgAu after structural relaxation.

Results
DFT total energy in eV per atom: -1.6966
Calculated density in g cm⁻³: 6.59
ΔH_f (0 K) in eV/atom: -0.13
Total magnetic moment in μB/cell: 0.00

a = 12.890 Å, b = 12.890 Å, c = 12.890 Å
α = 31.98°, β = 31.98°, γ = 31.98°
Positions (direct):
Ca: 0.110 0.110 0.110
Ca: 0.283 0.283 0.283
Ca: 0.717 0.717 0.717
Ca: 0.890 0.890 0.890
Cd: 0.068 0.663 0.663
Cd: 0.226 0.226 0.654
Cd: 0.226 0.654 0.226
Cd: 0.337 0.337 0.932
Cd: 0.337 0.932 0.337
Cd: 0.346 0.774 0.774
Cd: 0.654 0.226 0.226
Cd: 0.663 0.068 0.663
Cd: 0.663 0.663 0.068
Cd: 0.774 0.346 0.774
Cd: 0.774 0.774 0.346
Cd: 0.932 0.337 0.337
Ag: 0.426 0.426 0.426
Ag: 0.574 0.574 0.574
Au: 0.000 0.000 0.000
Au: 0.500 0.500 0.500


VASP calculation (PBE-GGA) on Ca2CdAgAu after structural relaxation.

Results
DFT total energy in eV per atom: -2.6726
Calculated density in g cm⁻³: 6.39
ΔH_f (0 K) in eV/atom: -0.46
Total magnetic moment in μB/cell: 0.00

a = 7.364 Å, b = 4.742 Å, c = 7.852 Å
α = 90.00°, β = 109.34°, γ = 90.00°
Positions (direct):
Ca: 0.043 0.250 0.204
Ca: 0.357 0.750 0.625
Ca: 0.643 0.250 0.375
Ca: 0.957 0.750 0.796
Cd: 0.343 0.750 0.176
Cd: 0.657 0.250 0.824
Ag: 0.334 0.250 0.964
Ag: 0.666 0.750 0.036
Au: 0.081 0.250 0.604
Au: 0.919 0.750 0.396